(1)
A plane-wave DFT calculation with PBE was carried out for a relaxed structure of MgPaNi5Ge2.

Lattice parameters (Å, degrees): 3.9963 3.9963 8.5422 90.00 90.00 90.00
Closest atoms and distances in Å follow each position.
Fractional coordinates of all 9 atoms:
Ni (0.5000, 0.5000, 0.5000)  8 Ni 2.70, 4 Pa 2.83
Ni (0.0000, 0.5000, 0.7121)  2 Ge 2.35
Ni (0.0000, 0.5000, 0.2879)  2 Ge 2.35
Ni (0.5000, 0.0000, 0.7121)  2 Ge 2.35
Ni (0.5000, 0.0000, 0.2879)  2 Ge 2.35
Ge (0.5000, 0.5000, 0.8569)  4 Ni 2.35, 1 Ge 2.45
Ge (0.5000, 0.5000, 0.1431)  4 Ni 2.35, 1 Ge 2.45
Pa (0.0000, 0.0000, 0.5000)  12 Ni 2.70-2.83
Mg (0.0000, 0.0000, 0.0000)  8 Ge 3.08, 8 Ni 3.17

(2)
A plane-wave DFT calculation with PBE was carried out for a relaxed structure of Mg2NiGe2Pd.

Lattice parameters (Å, degrees): 5.7471 5.7534 7.4215 112.81 112.78 90.00
Closest atoms and distances in Å follow each position.
Fractional coordinates of all 12 atoms:
Ge (0.8442, 0.1202, 0.2405)  2 Ni 2.44, 2 Pd 2.61
Ge (0.1558, 0.8798, 0.7595)  2 Ni 2.44, 2 Pd 2.61
Ge (0.6037, 0.3798, 0.7595)  2 Ni 2.44, 2 Pd 2.61
Ge (0.3963, 0.6202, 0.2405)  2 Ni 2.44, 2 Pd 2.61
Pd (0.0000, 0.7500, 0.0000)  4 Ge 2.61, 4 Mg 2.80, 2 Ni 2.87, 2 Pd 2.88
Pd (0.0000, 0.2500, 0.0000)  4 Ge 2.61, 4 Mg 2.80, 2 Ni 2.87, 2 Pd 2.88
Ni (0.5000, 0.7500, 0.0000)  4 Ge 2.44
Ni (0.5000, 0.2500, 0.0000)  4 Ge 2.44
Mg (0.6015, 0.8414, 0.6828)  5 Ge 2.75-3.00, 2 Pd 2.80, 2 Ni 2.86
Mg (0.3985, 0.1586, 0.3172)  5 Ge 2.75-3.00, 2 Pd 2.80, 2 Ni 2.86
Mg (0.9187, 0.6586, 0.3172)  5 Ge 2.75-3.00, 2 Pd 2.80, 2 Ni 2.86
Mg (0.0813, 0.3414, 0.6828)  5 Ge 2.75-3.00, 2 Pd 2.80, 2 Ni 2.86

(3)
A plane-wave DFT calculation with PBE was carried out for a relaxed structure of Mg2NiGe2Pd5.

Lattice parameters (Å, degrees): 3.6180 9.4444 9.4444 90.00 90.00 90.00
Closest atoms and distances in Å follow each position.
Fractional coordinates of all 20 atoms:
Pd (0.5000, 0.8030, 0.9288)  2 Ge 2.49, 2 Ni 2.68
Pd (0.5000, 0.1970, 0.0712)  2 Ge 2.49, 2 Ni 2.68
Pd (0.5000, 0.6970, 0.4288)  2 Ge 2.49, 2 Ni 2.68
Pd (0.5000, 0.5000, 0.0000)  4 Ge 2.53
Pd (0.5000, 0.3030, 0.5712)  2 Ge 2.49, 2 Ni 2.68
Pd (0.5000, 0.9288, 0.1970)  2 Ge 2.49, 2 Ni 2.68
Pd (0.5000, 0.0000, 0.5000)  4 Ge 2.53
Pd (0.5000, 0.0712, 0.8030)  2 Ge 2.49, 2 Ni 2.68
Pd (0.5000, 0.4288, 0.3030)  2 Ge 2.49, 2 Ni 2.68
Pd (0.5000, 0.5712, 0.6970)  2 Ge 2.49, 2 Ni 2.68
Mg (0.0000, 0.3300, 0.8300)  3 Ge 2.64-2.88, 2 Pd 2.90
Mg (0.0000, 0.8300, 0.6700)  3 Ge 2.64-2.88, 2 Pd 2.90
Mg (0.0000, 0.1700, 0.3300)  3 Ge 2.64-2.88, 2 Pd 2.90
Mg (0.0000, 0.6700, 0.1700)  3 Ge 2.64-2.88, 2 Pd 2.90
Ge (0.0000, 0.1321, 0.6321)  6 Pd 2.49-2.53, 1 Mg 2.64
Ge (0.0000, 0.8679, 0.3679)  6 Pd 2.49-2.53, 1 Mg 2.64
Ge (0.0000, 0.6321, 0.8679)  6 Pd 2.49-2.53, 1 Mg 2.64
Ge (0.0000, 0.3679, 0.1321)  6 Pd 2.49-2.53, 1 Mg 2.64
Ni (0.0000, 0.0000, 0.0000)  8 Pd 2.68
Ni (0.0000, 0.5000, 0.5000)  8 Pd 2.68

(4)
A plane-wave DFT calculation with PBE was carried out for a relaxed structure of PmMg2NiGe2.

Lattice parameters (Å, degrees): 5.1530 5.1530 6.4475 113.55 113.55 90.00
Closest atoms and distances in Å follow each position.
Fractional coordinates of all 6 atoms:
Pm (0.5000, 0.5000, 0.0000)  2 Ge 3.11
Mg (0.7500, 0.2500, 0.5000)  4 Ge 2.62
Mg (0.2500, 0.7500, 0.5000)  4 Ge 2.62
Ge (0.2073, 0.2073, 0.4147)  1 Ni 2.21
Ge (0.7927, 0.7927, 0.5853)  1 Ni 2.21
Ni (0.0000, 0.0000, 0.0000)  2 Ge 2.21

(5)
A plane-wave DFT calculation with PBE was carried out for a relaxed structure of PmMg2Ni2Ge.

Lattice parameters (Å, degrees): 4.8476 4.8476 6.2033 113.00 113.00 90.00
Closest atoms and distances in Å follow each position.
Fractional coordinates of all 6 atoms:
Ni (0.2151, 0.2151, 0.4302)  1 Ge 2.22, 4 Mg 2.45
Ni (0.7849, 0.7849, 0.5698)  1 Ge 2.22, 4 Mg 2.45
Mg (0.2500, 0.7500, 0.5000)  4 Ni 2.45
Mg (0.7500, 0.2500, 0.5000)  4 Ni 2.45
Pm (0.5000, 0.5000, 0.0000)  2 Ni 2.95
Ge (0.0000, 0.0000, 0.0000)  2 Ni 2.22

(6)
A plane-wave DFT calculation with PBE was carried out for a relaxed structure of Pm2MgNi4Ge3.

Lattice parameters (Å, degrees): 4.1440 4.1440 9.9440 90.00 90.00 90.00
Closest atoms and distances in Å follow each position.
Fractional coordinates of all 10 atoms:
Ge (0.0000, 0.0000, 0.5000)  4 Ni 2.49
Ge (0.5000, 0.0000, 0.8756)  5 Ni 2.35-2.41
Ge (0.0000, 0.5000, 0.1244)  5 Ni 2.35-2.41
Ni (0.0000, 0.0000, 0.0000)  4 Ge 2.41
Ni (0.0000, 0.5000, 0.3607)  3 Ge 2.35-2.49, 2 Mg 2.49
Ni (0.5000, 0.5000, 0.0000)  4 Ge 2.41
Ni (0.5000, 0.0000, 0.6393)  3 Ge 2.35-2.49, 2 Mg 2.49
Pm (0.0000, 0.5000, 0.7606)  6 Ge 3.15-3.32, 8 Ni 3.16-3.17, 2 Mg 3.32
Pm (0.5000, 0.0000, 0.2394)  6 Ge 3.15-3.32, 8 Ni 3.16-3.17, 2 Mg 3.32
Mg (0.5000, 0.5000, 0.5000)  4 Ni 2.49

(7)
A plane-wave DFT calculation with PBE was carried out for a relaxed structure of PmMgNiGe.

Lattice parameters (Å, degrees): 4.7974 4.7974 4.7974 60.00 60.00 60.00
Closest atoms and distances in Å follow each position.
Fractional coordinates of all 4 atoms:
Pm (0.7500, 0.7500, 0.7500)  4 Ge 2.94, 4 Ni 2.94
Mg (0.2500, 0.2500, 0.2500)  4 Ni 2.94, 4 Ge 2.94
Ni (0.5000, 0.5000, 0.5000)  4 Pm 2.94, 4 Mg 2.94
Ge (0.0000, 0.0000, 0.0000)  4 Mg 2.94, 4 Pm 2.94

(8)
A plane-wave DFT calculation with PBE was carried out for a relaxed structure of Pm2Mg2NiGe4.

Lattice parameters (Å, degrees): 6.3053 6.3053 6.3053 94.16 117.63 117.63
Closest atoms and distances in Å follow each position.
Fractional coordinates of all 9 atoms:
Ni (0.0000, 0.0000, 0.0000)  4 Ge 2.39, 2 Mg 2.54
Ge (0.5172, 0.2586, 0.2586)  1 Ni 2.39
Ge (0.0000, 0.7414, 0.2586)  1 Ni 2.39
Ge (0.4828, 0.7414, 0.7414)  1 Ni 2.39
Ge (0.0000, 0.2586, 0.7414)  1 Ni 2.39
Pm (0.5000, 0.7500, 0.2500)  8 Ge 3.15, 4 Mg 3.29
Pm (0.5000, 0.2500, 0.7500)  8 Ge 3.15, 4 Mg 3.29
Mg (0.0000, 0.7046, 0.7046)  1 Ni 2.54, 4 Ge 2.84
Mg (0.0000, 0.2954, 0.2954)  1 Ni 2.54, 4 Ge 2.84

(9)
A plane-wave DFT calculation with PBE was carried out for a relaxed structure of PmMgNi2Ge2.

Lattice parameters (Å, degrees): 4.1707 4.1707 6.8569 90.00 90.00 120.00
Closest atoms and distances in Å follow each position.
Fractional coordinates of all 6 atoms:
Ge (0.6667, 0.3333, 0.7167)  4 Ni 2.43-2.62
Ge (0.3333, 0.6667, 0.2833)  4 Ni 2.43-2.62
Mg (0.0000, 0.0000, 0.5000)  6 Ni 2.66, 6 Ge 2.83
Ni (0.6667, 0.3333, 0.3340)  4 Ge 2.43-2.62, 3 Mg 2.66
Ni (0.3333, 0.6667, 0.6660)  4 Ge 2.43-2.62, 3 Mg 2.66
Pm (0.0000, 0.0000, 0.0000)  6 Ge 3.09, 6 Ni 3.32, 2 Mg 3.43

(10)
A plane-wave DFT calculation with PBE was carried out for a relaxed structure of PrMgNi2Ge2.

Lattice parameters (Å, degrees): 4.1843 4.1843 6.9587 90.00 90.00 120.00
Closest atoms and distances in Å follow each position.
Fractional coordinates of all 6 atoms:
Pr (0.0000, 0.0000, 0.0000)  6 Ge 3.13, 6 Ni 3.38, 2 Mg 3.48
Ge (0.6667, 0.3333, 0.7131)  4 Ni 2.44-2.60
Ge (0.3333, 0.6667, 0.2869)  4 Ni 2.44-2.60
Ni (0.6667, 0.3333, 0.3391)  4 Ge 2.44-2.60, 3 Mg 2.66
Ni (0.3333, 0.6667, 0.6609)  4 Ge 2.44-2.60, 3 Mg 2.66
Mg (0.0000, 0.0000, 0.5000)  6 Ni 2.66, 6 Ge 2.83

(11)
A plane-wave DFT calculation with PBE was carried out for a relaxed structure of Pr2MgNi3Ge4.

Lattice parameters (Å, degrees): 4.2065 4.2065 10.2492 90.00 90.00 90.00
Closest atoms and distances in Å follow each position.
Fractional coordinates of all 10 atoms:
Pr (0.0000, 0.5000, 0.7629)  8 Ge 3.18-3.21, 6 Ni 3.23-3.42, 2 Mg 3.42
Pr (0.5000, 0.0000, 0.2371)  8 Ge 3.18-3.21, 6 Ni 3.23-3.42, 2 Mg 3.42
Ge (0.0000, 0.0000, 0.0000)  4 Ni 2.41
Ge (0.5000, 0.0000, 0.6518)  3 Ni 2.39-2.62, 2 Mg 2.62
Ge (0.5000, 0.5000, 0.0000)  4 Ni 2.41
Ge (0.0000, 0.5000, 0.3482)  3 Ni 2.39-2.62, 2 Mg 2.62
Ni (0.5000, 0.0000, 0.8854)  5 Ge 2.39-2.41
Ni (0.0000, 0.0000, 0.5000)  4 Ge 2.62
Ni (0.0000, 0.5000, 0.1146)  5 Ge 2.39-2.41
Mg (0.5000, 0.5000, 0.5000)  4 Ge 2.62

(12)
A plane-wave DFT calculation with PBE was carried out for a relaxed structure of Pr2Mg2NiGe4.

Lattice parameters (Å, degrees): 6.3560 6.3560 6.3560 93.82 117.82 117.82
Closest atoms and distances in Å follow each position.
Fractional coordinates of all 9 atoms:
Ge (0.0000, 0.7412, 0.2588)  1 Ni 2.40
Ge (0.4824, 0.7412, 0.7412)  1 Ni 2.40
Ge (0.5176, 0.2588, 0.2588)  1 Ni 2.40
Ge (0.0000, 0.2588, 0.7412)  1 Ni 2.40
Pr (0.5000, 0.2500, 0.7500)  8 Ge 3.18, 4 Mg 3.31
Pr (0.5000, 0.7500, 0.2500)  8 Ge 3.18, 4 Mg 3.31
Mg (0.0000, 0.7044, 0.7044)  1 Ni 2.57, 4 Ge 2.86
Mg (0.0000, 0.2956, 0.2956)  1 Ni 2.57, 4 Ge 2.86
Ni (0.0000, 0.0000, 0.0000)  4 Ge 2.40, 2 Mg 2.57

| no. | formation energy (meV per atom) | total magnetic moment (μB per formula unit) |
| --- | --- | --- |
| 1 | -297.4 | 0.0 |
| 2 | -398.1 | 0.0 |
| 3 | -396.7 | 0.0 |
| 4 | 15.7 | 0.0 |
| 5 | -134.3 | 0.0 |
| 6 | -609.6 | 0.0 |
| 7 | -340.0 | 0.0 |
| 8 | -476.0 | 0.0 |
| 9 | -598.8 | 0.0 |
| 10 | -592.1 | 0.0 |
| 11 | -639.0 | 0.0 |
| 12 | -478.5 | 0.0 |